(1)
{"formula": "Zr2CrTe", "functional": "PBE", "state": "relaxed", "lattice": [[-4.1858, 1.2689, 1.1772], [0.5542, -1.5178, 3.6064], [1.5965, 3.9514, 1.4177]], "species": ["Zr", "Zr", "Cr", "Te"], "fractional_positions": [[0.0000, 0.0000, 0.0000], [0.5000, 0.5000, 0.0000], [0.5000, 0.0000, 0.5000], [0.0000, 0.5000, 0.5000]], "e_tot_ev_per_cell": -30.17, "space_group": "Pmmm (47)", "e_form_raw_ev_per_atom": -0.08}



(2)
{"formula": "V3RuW3", "functional": "PBE", "state": "relaxed", "lattice": [[5.8695, 1.0259, -0.8641], [-1.1307, 5.8502, -0.8641], [0.7070, 1.0259, 5.8905]], "species": ["W", "V", "W", "W", "Ru", "W", "W", "V", "V", "V", "V", "Ru", "V", "W"], "fractional_positions": [[0.6601, 0.6601, 0.1093], [0.3965, 0.8748, 0.3965], [0.1601, 0.6093, 0.1601], [0.1093, 0.6601, 0.6601], [0.6189, 0.6189, 0.6189], [0.6093, 0.1601, 0.1601], [0.6601, 0.1093, 0.6601], [0.8748, 0.3965, 0.3965], [0.8965, 0.3748, 0.8965], [0.3965, 0.3965, 0.8748], [0.8965, 0.8965, 0.3748], [0.1189, 0.1189, 0.1189], [0.3748, 0.8965, 0.8965], [0.1601, 0.1601, 0.6093]], "e_tot_ev_per_cell": -146.95, "space_group": "R3m (160)", "e_form_mev_per_atom": 288}



(3)
{"formula": "RbRhF6", "functional": "PBE", "state": "relaxed", "lattice": [[4.8647, -0.2659, -2.1205], [-1.2358, 5.0551, -1.0730], [-0.7448, 0.0950, 6.5457]], "species": ["Rb", "F", "Rh", "F", "F", "F", "F", "F"], "fractional_positions": [[0.0000, 0.5000, 0.5000], [0.6571, 0.7022, 0.7508], [0.0000, 0.0000, 0.0000], [0.0486, 0.0937, 0.7508], [0.7426, 0.2184, 0.9610], [0.3429, 0.2978, 0.2492], [0.9514, 0.9063, 0.2492], [0.2574, 0.7816, 0.0390]], "e_tot_ev_per_cell": -34.38, "space_group": "C2/m (12)", "e_form_raw_ev_per_atom": -1.85}